# 1
Rb2CdSe: relaxed, PBE-GGA.

abc: 8.4343 8.4343 8.4343
angles: 90.00 90.00 90.00
With the nearest neighbours (Å) after each atom.
Space group Fm-3m (No. 225)
Inequivalent atoms, fractional coordinates:
Rb1 0.2500 0.2500 0.2500 [8 per cell]  4 Cd 3.65, 4 Se 3.65
Cd1 0.0000 0.0000 0.0000 [4 per cell]  8 Rb 3.65
Se1 0.0000 0.0000 0.5000 [4 per cell]  8 Rb 3.65

Summary:
**Polymorph energy (0 for the lowest one)**: 0.000 eV/atom
**DOS at the Fermi energy**: 0.0 states/eV per cell
**Raw formation energy**: -606 meV per atom
**Magnetization**: 0.00 μB/atom
**Calculated total energy**: -35.041 eV/cell


# 2
Re2SiBr: relaxed, PBE-GGA.

abc: 6.3625 6.3625 6.3625
angles: 90.00 90.00 90.00
With the nearest neighbours (Å) after each atom.
Space group F-43m (No. 216)
Inequivalent atoms, fractional coordinates:
Re1 0.0000 0.0000 0.0000 [4 per cell]  4 Re 2.76, 4 Si 2.76
Re2 0.2500 0.2500 0.2500 [4 per cell]  4 Br 2.76, 4 Re 2.76
Si1 0.2500 0.2500 0.7500 [4 per cell]  4 Re 2.76, 4 Br 2.76
Br1 0.0000 0.0000 0.5000 [4 per cell]  4 Re 2.76, 4 Si 2.76

Summary:
**Polymorph energy (0 for the lowest one)**: 0.980 eV/atom
**DOS at the Fermi energy**: 22.8 states/eV per cell
**Raw formation energy**: 1267 meV per atom
**Magnetization**: 0.00 μB/atom
**Calculated total energy**: -107.693 eV/cell


# 3
NdLuPdPt: relaxed, PBE-GGA.

abc: 7.0579 7.0579 7.0579
angles: 90.00 90.00 90.00
With the nearest neighbours (Å) after each atom.
Space group F-43m (No. 216)
Inequivalent atoms, fractional coordinates:
Nd1 0.0000 0.0000 0.0000 [4 per cell]  4 Pt 3.06, 4 Pd 3.06
Lu1 0.0000 0.0000 0.5000 [4 per cell]  4 Pd 3.06, 4 Pt 3.06
Pd1 0.2500 0.2500 0.7500 [4 per cell]  4 Nd 3.06, 4 Lu 3.06
Pt1 0.2500 0.2500 0.2500 [4 per cell]  4 Nd 3.06, 4 Lu 3.06

Summary:
**DOS at the Fermi energy**: 14.1 states/eV per cell
**E_form**: -1.00 eV/atom
**Magnetization**: 0.00 μB/atom
**Calculated total energy**: -98.049 eV/cell


# 4
BeTl2Se2: relaxed, PBE-GGA.

abc: 6.7786 13.3743 6.0908
angles: 90.00 90.00 90.00
With the nearest neighbours (Å) after each atom.
Space group Ibam (No. 72)
Inequivalent atoms, fractional coordinates:
Be1 0.0000 0.0000 0.2500 [4 per cell]  4 Se 2.29
Tl1 0.1746 0.3565 0.0000 [8 per cell]  6 Se 3.28-3.53, 2 Be 3.30
Se1 0.1756 0.0923 0.0000 [8 per cell]  2 Be 2.29

Summary:
**Raw formation energy**: -490 meV per atom
**Magnetization**: 0.00 μB/atom
**Calculated total energy**: -71.512 eV/cell


# 5
GdTiZn2: relaxed, PBE-GGA.

abc: 3.3396 3.3396 6.8664
angles: 90.00 90.00 90.00
With the nearest neighbours (Å) after each atom.
Space group P4/mmm (No. 123)
Inequivalent atoms, fractional coordinates:
Gd1 0.0000 0.0000 0.0000 [1 per cell]  8 Zn 3.11, 4 Gd 3.34, 2 Ti 3.43
Ti1 0.0000 0.0000 0.5000 [1 per cell]  8 Zn 2.75
Zn1 0.5000 0.5000 0.2957 [2 per cell]  4 Ti 2.75, 1 Zn 2.81

Summary:
**Polymorph energy (0 for the lowest one)**: 0.000 eV/atom
**DOS at the Fermi energy**: 3.0 states/eV per cell
**E_form**: -0.21 eV/atom
**Magnetization**: 1.94 μB/atom
**Calculated total energy**: -25.347 eV/cell


# 6
CrReNi2: relaxed, PBE-GGA.

abc: 2.6135 2.6135 25.1714
angles: 90.00 90.00 120.00
With the nearest neighbours (Å) after each atom.
Space group R-3m (No. 166, hexagonal axes)
Inequivalent atoms, fractional coordinates:
Cr1 0.0000 0.0000 0.0000 [3 per cell]  6 Ni 2.54, 6 Cr 2.61
Re1 0.0000 0.0000 0.5000 [3 per cell]  6 Re 2.61, 6 Ni 2.63
Ni1 0.0000 0.0000 0.2524 [6 per cell]  3 Cr 2.54, 6 Ni 2.61, 3 Re 2.63

Summary:
**Polymorph energy (0 for the lowest one)**: 0.205 eV/atom
**DOS at the Fermi energy**: 22.8 states/eV per cell
**E_form**: 0.21 eV/atom
**Magnetization**: 0.10 μB/atom
**Calculated total energy**: -98.386 eV/cell


# 7
Re2MoCl: relaxed, PBE-GGA.

abc: 2.8862 4.1759 5.2850
angles: 90.00 105.00 90.00
With the nearest neighbours (Å) after each atom.
Space group P2/m (No. 10)
Inequivalent atoms, fractional coordinates:
Re1 0.1534 0.0000 0.2456 [2 per cell]  1 Re 2.52, 2 Cl 2.54, 2 Mo 2.78
Mo1 0.5000 0.5000 0.0000 [1 per cell]  2 Cl 2.64, 8 Re 2.78-2.89, 2 Mo 2.89
Cl1 0.5000 0.5000 0.5000 [1 per cell]  4 Re 2.54, 2 Mo 2.64

Summary:
**Polymorph energy (0 for the lowest one)**: 0.475 eV/atom
**DOS at the Fermi energy**: 3.6 states/eV per cell
**Raw formation energy**: 718 meV per atom
**Magnetization**: 0.00 μB/atom
**Calculated total energy**: -34.700 eV/cell


# 8
Zr3CdHg: relaxed, PBE-GGA.

abc: 5.2705 5.2705 5.2705
angles: 90.00 90.00 90.00
With the nearest neighbours (Å) after each atom.
Space group Pm-3m (No. 221)
Inequivalent atoms, fractional coordinates:
Zr1 0.0000 0.0000 0.5000 [3 per cell]  2 Hg 2.64
Cd1 0.5000 0.5000 0.5000 [1 per cell]  12 Zr 3.73
Hg1 0.0000 0.0000 0.0000 [1 per cell]  6 Zr 2.64

Summary:
**Polymorph energy (0 for the lowest one)**: 0.747 eV/atom
**DOS at the Fermi energy**: 1.9 states/eV per cell
**E_form**: 0.90 eV/atom
**Magnetization**: 0.00 μB/atom
**Calculated total energy**: -22.370 eV/cell